Record 1
# MnSbBr

A geometry-optimized MnSbBr structure (PBE, Alexandria via LeMat-Bulk).

Lattice parameters (Å, degrees): 4.8113 4.8113 3.3630 90.00 90.00 120.00
With the nearest neighbours (Å) after each atom.
Positions (direct):
Mn (0.0000, 0.0000, 0.0000)  3 Br 2.78
Sb (0.6667, 0.3333, 0.5035)  6 Mn 3.24-3.25, 6 Br 3.25, 2 Sb 3.36
Br (0.3333, 0.6667, 0.0032)  3 Mn 2.78

Results
The calculation puts the total energy at -4.731 eV per atom. As for the excess energy over the best structure of this formula in the dataset: 448 meV/atom. The density of states at the Fermi level comes out at 0.739 states/eV/f.u. For the volume, the calculation gives 22.5 A^3/atom. The formation energy (no corrections) is 258 meV/atom.

Record 2
# MnSbBr2

A geometry-optimized MnSbBr2 structure (PBE, Alexandria via LeMat-Bulk).

Lattice parameters (Å, degrees): 14.9330 3.4955 5.1317 90.00 99.61 90.00
With the nearest neighbours (Å) after each atom.
Positions (direct):
Mn (0.0000, 0.0000, 0.0000)  4 Br 2.75
Mn (0.5000, 0.5000, 0.0000)  4 Br 2.75
Sb (0.0000, 0.5000, 0.5000)  2 Br 2.84, 4 Mn 3.10
Sb (0.5000, 0.0000, 0.5000)  2 Br 2.84, 4 Mn 3.10
Br (0.1385, 0.5000, 0.1831)  2 Mn 2.75, 1 Sb 2.84
Br (0.3615, 0.0000, 0.8169)  2 Mn 2.75, 1 Sb 2.84
Br (0.6385, 0.0000, 0.1831)  2 Mn 2.75, 1 Sb 2.84
Br (0.8615, 0.5000, 0.8169)  2 Mn 2.75, 1 Sb 2.84

Results
The calculation puts the total energy at -4.328 eV per atom. As for the excess energy over the best structure of this formula in the dataset: 85 meV/atom. The density of states at the Fermi level comes out at 1.241 states/eV/f.u. For the volume, the calculation gives 33.0 A^3/atom. The formation energy (no corrections) is -168 meV/atom.

Record 3
# MnSbBr2

A geometry-optimized MnSbBr2 structure (PBE, Alexandria via LeMat-Bulk).

Lattice parameters (Å, degrees): 6.7023 8.7661 3.4296 90.00 90.00 90.00
With the nearest neighbours (Å) after each atom.
Positions (direct):
Mn (0.0000, 0.0000, 0.0000)  8 Br 3.25, 2 Sb 3.35, 2 Mn 3.43
Mn (0.5000, 0.5000, 0.0000)  8 Br 3.25, 2 Sb 3.35, 2 Mn 3.43
Sb (0.0000, 0.5000, 0.0000)  8 Br 3.25, 2 Mn 3.35, 2 Sb 3.43
Sb (0.5000, 0.0000, 0.0000)  8 Br 3.25, 2 Mn 3.35, 2 Sb 3.43
Br (0.2500, 0.2500, 0.5000)  4 Sb 3.25, 4 Mn 3.25, 4 Br 3.35-3.43
Br (0.2500, 0.7500, 0.5000)  4 Sb 3.25, 4 Mn 3.25, 4 Br 3.35-3.43
Br (0.7500, 0.2500, 0.5000)  4 Sb 3.25, 4 Mn 3.25, 4 Br 3.35-3.43
Br (0.7500, 0.7500, 0.5000)  4 Mn 3.25, 4 Sb 3.25, 4 Br 3.35-3.43

Results
The calculation puts the total energy at -3.812 eV per atom. As for the excess energy over the best structure of this formula in the dataset: 600 meV/atom. The density of states at the Fermi level comes out at 2.309 states/eV/f.u. For the volume, the calculation gives 25.2 A^3/atom. The formation energy (no corrections) is 347 meV/atom.

Record 4
# MnSbBr

A geometry-optimized MnSbBr structure (PBE, Alexandria via LeMat-Bulk).

Lattice parameters (Å, degrees): 3.2710 3.2710 15.1326 90.00 90.00 90.00
With the nearest neighbours (Å) after each atom.
Positions (direct):
Mn (0.0000, 0.0000, 0.0000)  4 Br 2.81, 4 Sb 3.05
Mn (0.5000, 0.5000, 0.5000)  4 Br 2.81, 4 Sb 3.05
Sb (0.0000, 0.0000, 0.6311)  4 Mn 3.05, 4 Sb 3.27
Sb (0.5000, 0.5000, 0.1311)  4 Mn 3.05, 4 Sb 3.27
Br (0.0000, 0.0000, 0.3948)  4 Mn 2.81
Br (0.5000, 0.5000, 0.8948)  4 Mn 2.81

Results
The calculation puts the total energy at -4.990 eV per atom. As for the excess energy over the best structure of this formula in the dataset: 188 meV/atom. The density of states at the Fermi level comes out at 1.893 states/eV/f.u. For the volume, the calculation gives 27.0 A^3/atom. The formation energy (no corrections) is -2 meV/atom.